1.
PBE-GGA Ca2MgAg, relaxed; M_tot = 0.0 μB/f.u.; DFT total energy = -18.26 eV per cell; formation energy from the elements = -170 meV/atom
1.0
4.810 0.000 0.000
0.000 4.123 0.000
0.000 0.000 11.989
Ca Mg Ag
4 2 2
Cartesian
0.000 0.000 0.000
0.000 2.061 5.995
2.405 0.000 3.604
2.405 2.061 9.598
2.405 0.000 7.030
2.405 2.061 1.036
0.000 0.000 8.606
0.000 2.061 2.612


2.
PBE-GGA Ca2Mg5Ag5, relaxed; M_tot = 0.0 μB/f.u.; DFT total energy = -28.91 eV per cell; formation energy from the elements = -223 meV/atom
1.0
4.638 0.000 0.000
0.000 5.864 0.000
0.000 0.000 10.009
Ca Mg Ag
2 5 5
Cartesian
0.000 0.000 0.000
0.000 2.932 5.004
2.319 0.000 5.004
2.319 1.468 2.400
2.319 1.468 7.609
2.319 4.395 2.400
2.319 4.395 7.609
0.000 0.000 3.315
0.000 0.000 6.694
0.000 2.932 1.705
0.000 2.932 8.304
2.319 2.932 0.000


Per-record V, Å³/atom: 29.7; 22.7